# 1
# Li2CeMgAg4 (PBE-GGA, optimized geometry)
data_Li2CeMgAg4
_cell_length_a 4.6293
_cell_length_b 4.6293
_cell_length_c 26.2837
_cell_angle_alpha 90.00
_cell_angle_beta 90.00
_cell_angle_gamma 120.00
_symmetry_space_group_name_H-M 'R -3 m'
_symmetry_Int_Tables_number 166
_symmetry_space_group_name_Hall '-R 3 2"'
loop_
_atom_site_label
_atom_site_fract_x
_atom_site_fract_y
_atom_site_fract_z
_atom_site_occupancy
Li1 0.0000 0.0000 0.2362 1
Ce1 0.0000 0.0000 0.0000 1
Mg1 0.0000 0.0000 0.5000 1
Ag1 0.0000 0.0000 0.1252 1
Ag2 0.0000 0.0000 0.3974 1
# Spin magnetization in μB per cell: 3.21
# Formation enthalpy at 0 K in meV/atom: -129.7
# Uncorrected energy in eV per cell: -71.4



# 2
# LiCeMgAg (PBE-GGA, optimized geometry)
data_LiCeMgAg
_cell_length_a 7.1248
_cell_length_b 7.1248
_cell_length_c 7.1248
_cell_angle_alpha 90.00
_cell_angle_beta 90.00
_cell_angle_gamma 90.00
_symmetry_space_group_name_H-M 'F -4 3 m'
_symmetry_Int_Tables_number 216
_symmetry_space_group_name_Hall 'F -4 2 3'
loop_
_atom_site_label
_atom_site_fract_x
_atom_site_fract_y
_atom_site_fract_z
_atom_site_occupancy
Li1 0.0000 0.0000 0.0000 1
Ce1 0.2500 0.2500 0.7500 1
Mg1 0.2500 0.2500 0.2500 1
Ag1 0.0000 0.0000 0.5000 1
# Spin magnetization in μB per cell: 3.97
# Formation enthalpy at 0 K in meV/atom: -39.9
# Uncorrected energy in eV per cell: -49.8



# 3
# LiCeNdAg (PBE-GGA, optimized geometry)
data_LiCeNdAg
_cell_length_a 7.4958
_cell_length_b 7.4958
_cell_length_c 7.4958
_cell_angle_alpha 90.00
_cell_angle_beta 90.00
_cell_angle_gamma 90.00
_symmetry_space_group_name_H-M 'F -4 3 m'
_symmetry_Int_Tables_number 216
_symmetry_space_group_name_Hall 'F -4 2 3'
loop_
_atom_site_label
_atom_site_fract_x
_atom_site_fract_y
_atom_site_fract_z
_atom_site_occupancy
Li1 0.0000 0.0000 0.0000 1
Ce1 0.2500 0.2500 0.7500 1
Nd1 0.2500 0.2500 0.2500 1
Ag1 0.0000 0.0000 0.5000 1
# Spin magnetization in μB per cell: 6.58
# Formation enthalpy at 0 K in meV/atom: 54.3
# Uncorrected energy in eV per cell: -61.0



# 4
# Li2CeAgO4 (PBE-GGA, optimized geometry)
data_Li2CeAgO4
_cell_length_a 5.4431
_cell_length_b 5.4431
_cell_length_c 6.7203
_cell_angle_alpha 90.00
_cell_angle_beta 90.00
_cell_angle_gamma 90.00
_symmetry_space_group_name_H-M 'I -4 2 m'
_symmetry_Int_Tables_number 121
_symmetry_space_group_name_Hall 'I -4 2'
loop_
_atom_site_label
_atom_site_fract_x
_atom_site_fract_y
_atom_site_fract_z
_atom_site_occupancy
Li1 0.0000 0.5000 0.2500 1
Ce1 0.0000 0.0000 0.0000 1
Ag1 0.0000 0.0000 0.5000 1
O1 0.2451 0.2451 0.8413 1
# Spin magnetization in μB per cell: 0.00
# Uncorrected energy in eV per cell: -94.3
# E_form (uncorrected) in eV per atom: -1.84



# 5
# Li2CeAg2Pb2 (PBE-GGA, optimized geometry)
data_Li2CeAg2Pb2
_cell_length_a 4.8006
_cell_length_b 4.8006
_cell_length_c 23.8672
_cell_angle_alpha 90.00
_cell_angle_beta 90.00
_cell_angle_gamma 120.00
_symmetry_space_group_name_H-M 'R -3 m'
_symmetry_Int_Tables_number 166
_symmetry_space_group_name_Hall '-R 3 2"'
loop_
_atom_site_label
_atom_site_fract_x
_atom_site_fract_y
_atom_site_fract_z
_atom_site_occupancy
Li1 0.0000 0.0000 0.1406 1
Ce1 0.0000 0.0000 0.0000 1
Ag1 0.0000 0.0000 0.4371 1
Pb1 0.0000 0.0000 0.2624 1
# Spin magnetization in μB per cell: 1.63
# Formation enthalpy at 0 K in meV/atom: -261.4
# Uncorrected energy in eV per cell: -74.1



# 6
# LiCeAgPd (PBE-GGA, optimized geometry)
data_LiCeAgPd
_cell_length_a 6.9564
_cell_length_b 6.9564
_cell_length_c 6.9564
_cell_angle_alpha 90.00
_cell_angle_beta 90.00
_cell_angle_gamma 90.00
_symmetry_space_group_name_H-M 'F -4 3 m'
_symmetry_Int_Tables_number 216
_symmetry_space_group_name_Hall 'F -4 2 3'
loop_
_atom_site_label
_atom_site_fract_x
_atom_site_fract_y
_atom_site_fract_z
_atom_site_occupancy
Li1 0.0000 0.0000 0.0000 1
Ce1 0.0000 0.0000 0.5000 1
Ag1 0.2500 0.2500 0.2500 1
Pd1 0.2500 0.2500 0.7500 1
# Spin magnetization in μB per cell: 3.68
# Formation enthalpy at 0 K in meV/atom: -265.1
# Uncorrected energy in eV per cell: -67.8



# 7
# LiCeAgPd2 (PBE-GGA, optimized geometry)
data_LiCeAgPd2
_cell_length_a 5.1940
_cell_length_b 6.0020
_cell_length_c 6.0256
_cell_angle_alpha 90.00
_cell_angle_beta 90.00
_cell_angle_gamma 90.00
_symmetry_space_group_name_H-M 'P m m a'
_symmetry_Int_Tables_number 51
_symmetry_space_group_name_Hall '-P 2a 2a'
loop_
_atom_site_label
_atom_site_fract_x
_atom_site_fract_y
_atom_site_fract_z
_atom_site_occupancy
Li1 0.0000 0.0000 0.0000 1
Ce1 0.2500 0.5000 0.2371 1
Ag1 0.2500 0.0000 0.3726 1
Pd1 0.2500 0.2667 0.7403 1
# Spin magnetization in μB per cell: 1.54
# Formation enthalpy at 0 K in meV/atom: -406.9
# Uncorrected energy in eV per cell: -46.2



# 8
# LiCeAgPt (PBE-GGA, optimized geometry)
data_LiCeAgPt
_cell_length_a 6.9065
_cell_length_b 6.9065
_cell_length_c 6.9065
_cell_angle_alpha 90.00
_cell_angle_beta 90.00
_cell_angle_gamma 90.00
_symmetry_space_group_name_H-M 'F -4 3 m'
_symmetry_Int_Tables_number 216
_symmetry_space_group_name_Hall 'F -4 2 3'
loop_
_atom_site_label
_atom_site_fract_x
_atom_site_fract_y
_atom_site_fract_z
_atom_site_occupancy
Li1 0.0000 0.0000 0.0000 1
Ce1 0.0000 0.0000 0.5000 1
Ag1 0.2500 0.2500 0.7500 1
Pt1 0.2500 0.2500 0.2500 1
# Spin magnetization in μB per cell: 3.19
# Formation enthalpy at 0 K in meV/atom: -437.0
# Uncorrected energy in eV per cell: -74.0



# 9
# LiCePuAg (PBE-GGA, optimized geometry)
data_LiCePuAg
_cell_length_a 7.0290
_cell_length_b 7.0290
_cell_length_c 7.0290
_cell_angle_alpha 90.00
_cell_angle_beta 90.00
_cell_angle_gamma 90.00
_symmetry_space_group_name_H-M 'F -4 3 m'
_symmetry_Int_Tables_number 216
_symmetry_space_group_name_Hall 'F -4 2 3'
loop_
_atom_site_label
_atom_site_fract_x
_atom_site_fract_y
_atom_site_fract_z
_atom_site_occupancy
Li1 0.0000 0.0000 0.0000 1
Ce1 0.0000 0.0000 0.5000 1
Pu1 0.2500 0.2500 0.7500 1
Ag1 0.2500 0.2500 0.2500 1
# Spin magnetization in μB per cell: 25.20
# Formation enthalpy at 0 K in meV/atom: 65.1
# Uncorrected energy in eV per cell: -99.1



# 10
# Li3Ce2AgS6 (PBE-GGA, optimized geometry)
data_Li3Ce2AgS6
_cell_length_a 16.5794
_cell_length_b 4.0014
_cell_length_c 7.5724
_cell_angle_alpha 90.00
_cell_angle_beta 104.37
_cell_angle_gamma 90.00
_symmetry_space_group_name_H-M 'C 1 2/m 1'
_symmetry_Int_Tables_number 12
_symmetry_space_group_name_Hall '-C 2y'
loop_
_atom_site_label
_atom_site_fract_x
_atom_site_fract_y
_atom_site_fract_z
_atom_site_occupancy
Li1 0.0000 0.0000 0.0000 1
Li2 0.1630 0.5000 0.3202 1
Ce1 0.1541 0.5000 0.8057 1
Ag1 0.0000 0.0000 0.5000 1
S1 0.0059 0.5000 0.2446 1
S2 0.1690 0.0000 0.0697 1
S3 0.1707 0.0000 0.5745 1
# Spin magnetization in μB per cell: 0.57
# Uncorrected energy in eV per cell: -123.5
# E_form (uncorrected) in eV per atom: -1.38



# 11
# LiCeAgS3 (PBE-GGA, optimized geometry)
data_LiCeAgS3
_cell_length_a 7.0138
_cell_length_b 3.8003
_cell_length_c 9.5537
_cell_angle_alpha 90.00
_cell_angle_beta 108.07
_cell_angle_gamma 90.00
_symmetry_space_group_name_H-M 'P 1 21/m 1'
_symmetry_Int_Tables_number 11
_symmetry_space_group_name_Hall '-P 2yb'
loop_
_atom_site_label
_atom_site_fract_x
_atom_site_fract_y
_atom_site_fract_z
_atom_site_occupancy
Li1 0.1906 0.2500 0.1081 1
Ce1 0.2382 0.7500 0.7241 1
Ag1 0.3535 0.7500 0.3903 1
S1 0.0481 0.2500 0.8388 1
S2 0.1873 0.2500 0.4940 1
S3 0.4611 0.7500 0.1630 1
# Spin magnetization in μB per cell: 0.00
# Uncorrected energy in eV per cell: -60.7
# E_form (uncorrected) in eV per atom: -1.21



# 12
# LiCe2Ag3S6 (PBE-GGA, optimized geometry)
data_LiCe2Ag3S6
_cell_length_a 16.1101
_cell_length_b 4.1387
_cell_length_c 7.6963
_cell_angle_alpha 90.00
_cell_angle_beta 99.16
_cell_angle_gamma 90.00
_symmetry_space_group_name_H-M 'C 1 2/m 1'
_symmetry_Int_Tables_number 12
_symmetry_space_group_name_Hall '-C 2y'
loop_
_atom_site_label
_atom_site_fract_x
_atom_site_fract_y
_atom_site_fract_z
_atom_site_occupancy
Li1 0.0000 0.0000 0.0000 1
Ce1 0.1556 0.5000 0.3186 1
Ag1 0.0000 0.0000 0.5000 1
Ag2 0.1699 0.5000 0.8301 1
S1 0.0072 0.5000 0.7570 1
S2 0.1670 0.0000 0.0900 1
S3 0.1690 0.0000 0.5642 1
# Spin magnetization in μB per cell: 0.57
# Uncorrected energy in eV per cell: -119.0
# E_form (uncorrected) in eV per atom: -1.03



- What is the formula in the fourth record?
  Li2CeAgO4